No. 1
VASP calculation (PBE-GGA) on crystalline Pm2Nd7Mg2 at its relaxed geometry.

Calculated values
Offset from the most stable computed form = 0.52 eV per formula unit
Symmetry = C2/m (12)

abc: 7.9810 6.2176 7.9810
angles: 75.26 85.86 104.74
With the nearest neighbours (Å) after each atom.
Sites, in units of the cell vectors:
Pm: 0.2059 0.5939 0.7941  6 Nd 3.36-3.72, 2 Mg 3.41
Pm: 0.7941 0.4061 0.2059  6 Nd 3.36-3.72, 2 Mg 3.41
Nd: 0.4193 0.1881 0.0623  2 Mg 3.22-3.32, 2 Nd 3.26-3.37, 1 Pm 3.36
Nd: 0.0623 0.8119 0.4193  2 Mg 3.22-3.32, 2 Nd 3.26-3.37, 1 Pm 3.36
Nd: 0.5807 0.8119 0.9377  2 Mg 3.22-3.32, 2 Nd 3.26-3.37, 1 Pm 3.36
Nd: 0.9377 0.1881 0.5807  2 Mg 3.22-3.32, 2 Nd 3.26-3.37, 1 Pm 3.36
Nd: 0.4199 0.2010 0.5801  6 Nd 3.47-3.83, 2 Mg 3.59, 2 Pm 3.62-3.78
Nd: 0.0000 0.0000 0.0000  4 Nd 3.37, 2 Pm 3.53
Nd: 0.5801 0.7990 0.4199  6 Nd 3.47-3.83, 2 Mg 3.59, 2 Pm 3.62-3.78
Mg: 0.7693 0.5000 0.7693  6 Nd 3.22-3.59, 2 Pm 3.41
Mg: 0.2307 0.5000 0.2307  6 Nd 3.22-3.59, 2 Pm 3.41

***

No. 2
VASP calculation (PBE-GGA) on crystalline PmNdMg4 at its relaxed geometry.

Calculated values
Symmetry = F-43m (216)

abc: 6.1220 6.1220 6.1220
angles: 60.00 60.00 60.00
With the nearest neighbours (Å) after each atom.
Sites, in units of the cell vectors:
Mg: 0.6251 0.6251 0.1248  6 Mg 3.06
Mg: 0.6251 0.1248 0.6251  6 Mg 3.06
Mg: 0.6251 0.6251 0.6251  6 Mg 3.06
Mg: 0.1248 0.6251 0.6251  6 Mg 3.06
Nd: 0.2500 0.2500 0.2500  12 Mg 3.59, 4 Pm 3.75
Pm: 0.0000 0.0000 0.0000  12 Mg 3.59, 4 Nd 3.75

***

Number 1: DOS(E_F) 1.186 states/eV/atom, calculated formation energy 0.105 eV/atom. Number 2: DOS(E_F) 0.945 states/eV/atom, calculated formation energy -0.104 eV/atom.